! MgV2GeO6 | Alexandria | GGA+U | optimized geometry; values from VASP
&SYSTEM
  ibrav = 0, nat = 10, ntyp = 4
/
ATOMIC_SPECIES
Mg 24.30 Mg.upf
V 50.94 V.upf
Ge 72.64 Ge.upf
O 16.00 O.upf
CELL_PARAMETERS angstrom
4.9503 0.0000 0.0000
0.0000 4.9503 0.0000
0.0000 0.0000 4.8617
ATOMIC_POSITIONS crystal
Mg 0.0000 0.0000 0.0000
V 0.0000 0.5000 0.4007
V 0.5000 0.0000 0.4007
Ge 0.5000 0.5000 0.0292
O 0.0000 0.0000 0.6063
O 0.2565 0.2565 0.1823
O 0.2565 0.7435 0.1823
O 0.5000 0.5000 0.6669
O 0.7435 0.2565 0.1823
O 0.7435 0.7435 0.1823
! **V**: 11.9 Å³ per atom
! **Total DFT energy (no corrections)**: -6.804 eV per atom
! **ρ**: 4.109 Mg/m³